An optimized crystal structure of TmBO2. Source: Alexandria via LeMat-Bulk, functional GGA-PBE.

Cell lengths 2.790, 2.790, 6.426 Å; angles 77.46, 77.46, 60.00 degrees
Last column: magnetic moment on the atom in μB.
Element x y z (fractional)
B 0.500 0.500 0.500  0.00
Tm 0.000 0.000 0.000  0.07
O 0.121 0.121 0.638  0.00
O 0.879 0.879 0.362  0.00

## Properties
**Energy**: -6.033 eV/atom
**Volume**: 41.93 Å³/cell
**E_form (uncorrected)**: -0.767 eV/atom

=====

An optimized crystal structure of Tm3BO6. Source: Alexandria via LeMat-Bulk, functional GGA-PBE.

Cell lengths 5.092, 6.909, 6.909 Å; angles 102.85, 90.00, 90.00 degrees
Element x y z (fractional)
Tm 0.475 0.917 0.700
Tm 0.975 0.700 0.917
Tm 0.427 0.396 0.604
Tm 0.927 0.604 0.396
Tm 0.975 0.083 0.300
Tm 0.475 0.300 0.083
B 0.027 0.194 0.806
B 0.527 0.806 0.194
O 0.205 0.675 0.646
O 0.705 0.646 0.675
O 0.154 0.396 0.884
O 0.654 0.884 0.396
O 0.133 0.062 0.938
O 0.731 0.205 0.795
O 0.231 0.795 0.205
O 0.633 0.938 0.062
O 0.154 0.116 0.604
O 0.654 0.604 0.116
O 0.205 0.354 0.325
O 0.705 0.325 0.354

## Properties
**Energy**: -8.329 eV/atom
**Volume**: 236.96 Å³/cell
**E_form (uncorrected)**: -3.345 eV/atom

=====

An optimized crystal structure of Tm2B2O7. Source: Alexandria via LeMat-Bulk, functional GGA-PBE.

Cell lengths 4.665, 5.474, 5.474 Å; angles 109.22, 100.51, 100.51 degrees
Element x y z (fractional)
Tm 0.500 0.306 0.694
Tm 0.500 0.694 0.306
B 0.865 0.226 0.226
B 0.135 0.774 0.774
O 0.283 0.892 0.620
O 0.717 0.380 0.108
O 0.717 0.108 0.380
O 0.283 0.620 0.892
O 0.000 0.000 0.000
O 0.810 0.680 0.680
O 0.190 0.320 0.320

## Properties
**Energy**: -7.791 eV/atom
**Volume**: 125.30 Å³/cell
**E_form (uncorrected)**: -2.608 eV/atom

=====

An optimized crystal structure of Tm3B5O12. Source: Alexandria via LeMat-Bulk, functional GGA-PBE.

Cell lengths 9.584, 9.584, 9.584 Å; angles 109.47, 109.47, 109.47 degrees
Element x y z (fractional)
Tm 0.750 0.375 0.125
Tm 0.875 0.750 0.125
Tm 0.375 0.750 0.625
Tm 0.250 0.125 0.375
Tm 0.875 0.125 0.250
Tm 0.375 0.625 0.250
Tm 0.625 0.375 0.750
Tm 0.125 0.875 0.750
Tm 0.750 0.875 0.625
Tm 0.625 0.250 0.375
Tm 0.125 0.250 0.875
Tm 0.250 0.625 0.875
B 0.125 0.375 0.250
B 0.000 0.500 0.000
B 0.000 0.000 0.000
B 0.375 0.250 0.125
B 0.500 0.000 0.500
B 0.500 0.500 0.000
B 0.125 0.750 0.375
B 0.750 0.125 0.875
B 0.750 0.625 0.375
B 0.375 0.125 0.750
B 0.625 0.875 0.250
B 0.500 0.500 0.500
B 0.500 0.000 0.000
B 0.000 0.000 0.500
B 0.250 0.375 0.625
B 0.250 0.875 0.125
B 0.000 0.500 0.500
B 0.875 0.250 0.625
B 0.625 0.750 0.875
B 0.875 0.625 0.750
O 0.694 0.110 0.005
O 0.311 0.505 0.395
O 0.995 0.390 0.306
O 0.505 0.194 0.110
O 0.584 0.694 0.689
O 0.995 0.605 0.189
O 0.311 0.806 0.416
O 0.105 0.916 0.110
O 0.605 0.995 0.689
O 0.694 0.584 0.189
O 0.806 0.495 0.390
O 0.811 0.895 0.005
O 0.110 0.694 0.505
O 0.390 0.395 0.084
O 0.084 0.895 0.390
O 0.416 0.110 0.605
O 0.084 0.189 0.194
O 0.495 0.689 0.105
O 0.811 0.916 0.306
O 0.110 0.416 0.105
O 0.390 0.995 0.806
O 0.605 0.610 0.416
O 0.895 0.811 0.505
O 0.806 0.311 0.916
O 0.395 0.390 0.584
O 0.105 0.189 0.495
O 0.194 0.689 0.084
O 0.189 0.084 0.694
O 0.610 0.005 0.194
O 0.890 0.584 0.895
O 0.505 0.311 0.895
O 0.584 0.890 0.395
O 0.916 0.811 0.806
O 0.916 0.105 0.610
O 0.890 0.306 0.495
O 0.189 0.105 0.995
O 0.610 0.605 0.916
O 0.395 0.005 0.311
O 0.306 0.416 0.811
O 0.194 0.505 0.610
O 0.895 0.084 0.890
O 0.689 0.194 0.584
O 0.495 0.806 0.890
O 0.005 0.395 0.811
O 0.416 0.306 0.311
O 0.005 0.610 0.694
O 0.689 0.495 0.605
O 0.306 0.890 0.995

## Properties
**Energy**: -7.742 eV/atom
**Volume**: 677.60 Å³/cell
**E_form (uncorrected)**: -2.427 eV/atom

=====

An optimized crystal structure of Tm6BO12. Source: Alexandria via LeMat-Bulk, functional GGA-PBE.

Cell lengths 6.283, 6.283, 6.283 Å; angles 99.07, 99.07, 99.07 degrees
Last column: magnetic moment on the atom in μB.
Element x y z (fractional)
Tm 0.695 0.858 0.394  0.01
Tm 0.606 0.305 0.142  0.01
Tm 0.142 0.606 0.305  0.01
Tm 0.305 0.142 0.606  0.01
Tm 0.394 0.695 0.858  0.01
Tm 0.858 0.394 0.695  0.01
B 0.000 0.000 0.000  -0.03
O 0.823 0.563 0.405  0.05
O 0.405 0.823 0.563  0.05
O 0.563 0.405 0.823  0.05
O 0.177 0.437 0.595  0.05
O 0.595 0.177 0.437  0.05
O 0.437 0.595 0.177  0.05
O 0.065 0.968 0.271  0.39
O 0.032 0.729 0.935  0.39
O 0.729 0.935 0.032  0.39
O 0.935 0.032 0.729  0.39
O 0.968 0.271 0.065  0.39
O 0.271 0.065 0.968  0.39

## Properties
**Energy**: -7.750 eV/atom
**Volume**: 237.58 Å³/cell
**E_form (uncorrected)**: -2.855 eV/atom

=====

An optimized crystal structure of TmB3O6. Source: Alexandria via LeMat-Bulk, functional GGA-PBE.

Cell lengths 7.395, 12.240, 15.910 Å; angles 90.00, 90.00, 90.00 degrees
Element x y z (fractional)
Tm 0.750 0.763 0.629
Tm 0.750 0.011 0.120
Tm 0.750 0.438 0.326
Tm 0.750 0.489 0.620
Tm 0.250 0.263 0.871
Tm 0.750 0.062 0.826
Tm 0.250 0.562 0.674
Tm 0.250 0.237 0.371
Tm 0.250 0.938 0.174
Tm 0.250 0.989 0.880
Tm 0.250 0.511 0.380
Tm 0.750 0.414 0.951
Tm 0.750 0.086 0.451
Tm 0.250 0.914 0.549
Tm 0.250 0.586 0.049
Tm 0.750 0.737 0.129
B 0.569 0.127 0.258
B 0.060 0.825 0.034
B 0.930 0.686 0.783
B 0.569 0.373 0.758
B 0.931 0.373 0.758
B 0.424 0.142 0.109
B 0.576 0.642 0.391
B 0.428 0.345 0.055
B 0.560 0.325 0.466
B 0.924 0.858 0.891
B 0.579 0.483 0.151
B 0.921 0.017 0.651
B 0.421 0.517 0.849
B 0.069 0.627 0.242
B 0.070 0.186 0.717
B 0.940 0.325 0.466
B 0.572 0.845 0.445
B 0.070 0.314 0.217
B 0.430 0.186 0.717
B 0.079 0.517 0.849
B 0.928 0.845 0.445
B 0.931 0.127 0.258
B 0.924 0.642 0.391
B 0.440 0.825 0.034
B 0.572 0.655 0.945
B 0.431 0.873 0.742
B 0.079 0.983 0.349
B 0.076 0.358 0.609
B 0.560 0.175 0.966
B 0.428 0.155 0.555
B 0.928 0.655 0.945
B 0.424 0.358 0.609
B 0.570 0.686 0.783
B 0.576 0.858 0.891
B 0.570 0.814 0.283
B 0.060 0.675 0.534
B 0.076 0.142 0.109
B 0.072 0.345 0.055
B 0.421 0.983 0.349
B 0.579 0.017 0.651
B 0.440 0.675 0.534
B 0.431 0.627 0.242
B 0.430 0.314 0.217
B 0.930 0.814 0.283
B 0.940 0.175 0.966
B 0.072 0.155 0.555
B 0.921 0.483 0.151
B 0.069 0.873 0.742
O 0.021 0.210 0.476
O 0.061 0.931 0.432
O 0.979 0.710 0.024
O 0.561 0.069 0.568
O 0.566 0.121 0.047
O 0.250 0.637 0.276
O 0.567 0.063 0.337
O 0.750 0.644 0.755
O 0.439 0.569 0.932
O 0.750 0.601 0.953
O 0.547 0.879 0.097
O 0.479 0.210 0.476
O 0.750 0.137 0.224
O 0.750 0.603 0.422
O 0.034 0.076 0.185
O 0.434 0.879 0.953
O 0.433 0.602 0.782
O 0.567 0.437 0.837
O 0.750 0.309 0.431
O 0.567 0.398 0.218
O 0.939 0.431 0.068
O 0.250 0.809 0.069
O 0.567 0.102 0.718
O 0.927 0.765 0.372
O 0.073 0.265 0.128
O 0.250 0.397 0.578
O 0.750 0.543 0.158
O 0.522 0.771 0.723
O 0.534 0.924 0.815
O 0.250 0.356 0.245
O 0.750 0.897 0.922
O 0.547 0.621 0.597
O 0.966 0.924 0.815
O 0.573 0.735 0.872
O 0.250 0.043 0.342
O 0.066 0.621 0.453
O 0.939 0.069 0.568
O 0.466 0.076 0.185
O 0.066 0.879 0.953
O 0.427 0.235 0.628
O 0.453 0.379 0.403
O 0.566 0.379 0.547
O 0.953 0.879 0.097
O 0.061 0.569 0.932
O 0.934 0.121 0.047
O 0.022 0.271 0.777
O 0.978 0.729 0.223
O 0.750 0.856 0.255
O 0.067 0.602 0.782
O 0.750 0.899 0.453
O 0.250 0.101 0.547
O 0.250 0.399 0.047
O 0.034 0.424 0.685
O 0.978 0.771 0.723
O 0.434 0.621 0.453
O 0.433 0.937 0.663
O 0.933 0.398 0.218
O 0.250 0.691 0.569
O 0.479 0.290 0.976
O 0.022 0.229 0.277
O 0.934 0.379 0.547
O 0.561 0.431 0.068
O 0.478 0.229 0.277
O 0.250 0.144 0.745
O 0.250 0.103 0.078
O 0.021 0.290 0.976
O 0.067 0.563 0.163
O 0.439 0.931 0.432
O 0.047 0.121 0.903
O 0.466 0.424 0.685
O 0.750 0.191 0.931
O 0.521 0.790 0.524
O 0.427 0.265 0.128
O 0.979 0.790 0.524
O 0.534 0.576 0.315
O 0.573 0.765 0.372
O 0.433 0.898 0.282
O 0.067 0.937 0.663
O 0.250 0.863 0.776
O 0.453 0.121 0.903
O 0.750 0.363 0.724
O 0.750 0.957 0.658
O 0.250 0.457 0.842
O 0.047 0.379 0.403
O 0.073 0.235 0.628
O 0.927 0.735 0.872
O 0.953 0.621 0.597
O 0.433 0.563 0.163
O 0.933 0.102 0.718
O 0.478 0.271 0.777
O 0.067 0.898 0.282
O 0.966 0.576 0.315
O 0.521 0.710 0.024
O 0.933 0.063 0.337
O 0.522 0.729 0.223
O 0.933 0.437 0.837

## Properties
**Energy**: -8.210 eV/atom
**Volume**: 1440.15 Å³/cell
**E_form (uncorrected)**: -2.785 eV/atom

=====

Among the records above, which one has the lowest energy?
Tm3BO6

=====

Which value of energy does entry 4 give?
-7.742 eV/atom